# PuPaNi2O6 (PBE+U, optimized geometry)
# - DOS at the Fermi energy (states/eV per atom) = 0.609
# - crystal system = monoclinic
# - total DFT energy (no corrections) (eV per atom) = -8.11
# - magnetic moment (μB per formula unit) = 8.7
data_PuPaNi2O6
_chemical_formula_sum 'Pu2 Pa2 Ni4 O12'
_symmetry_space_group_name_H-M 'P 1 21/c 1'
_symmetry_Int_Tables_number 14
_cell_length_a 5.5815
_cell_length_b 5.9994
_cell_length_c 9.6362
_cell_angle_alpha 90.00
_cell_angle_beta 121.00
_cell_angle_gamma 90.00
loop_
_symmetry_equiv_pos_as_xyz
'x,y,z'
'-x,-y,-z'
'-x,y+1/2,-z+1/2'
'x,-y+1/2,z+1/2'
loop_
_atom_site_label
_atom_site_fract_x
_atom_site_fract_y
_atom_site_fract_z
Pu1 0.0000 0.0000 0.0000
Pa1 0.5000 0.0000 0.5000
Ni1 0.1588 0.0698 0.6830
O1 0.1083 0.1083 0.2663
O2 0.1963 0.6639 0.0427
O3 0.4043 0.2276 0.1096